The following is a DFT calculation (PBE) of a geometry-optimized ErTcAsO structure.

a = 3.934 Å, b = 3.934 Å, c = 8.449 Å
α = 90.00°, β = 90.00°, γ = 90.00°
Space group P4/nmm (No. 129, origin choice 2)
One atom of each set of equivalent atoms:
Er  0.250  0.250  0.126 x2
Tc  0.250  0.750  0.500 x2
As  0.250  0.250  0.683 x2
O  0.250  0.750  0.000 x2

Calculated values
energy relative to the lowest polymorph listed for this composition = 0.000 eV per atom
volume = 16.34 Å³ per atom
crystal system = tetragonal
total energy = -63.343 eV per cell